(one)
Compound: Re2TeN
Source: Alexandria
Functional: GGA-PBE
Structure: optimized geometry

```
data_Re2TeN
_chemical_formula_sum 'Re2 Te1 N1'
_cell_length_a 4.349
_cell_length_b 4.349
_cell_length_c 4.349
_cell_angle_alpha 60.00
_cell_angle_beta 60.00
_cell_angle_gamma 60.00
_space_group_name_H-M_alt 'P 1'
_space_group_IT_number 1
_space_group_name_Hall 'P 1'
loop_
_atom_site_label
_atom_site_type_symbol
_atom_site_fract_x
_atom_site_fract_y
_atom_site_fract_z
Re1 Re 0.750 0.750 0.750
Re2 Re 0.250 0.250 0.250
N1 N 0.000 0.000 0.000
Te1 Te 0.500 0.500 0.500
```

Properties
**Size of the total moment**: 0.00 μB/cell
**Calculated volume**: 14.546 Å³ per atom
**Fermi-level density of states**: 2.3 states/eV/cell


(two)
Compound: Re2TeN
Source: Alexandria
Functional: GGA-PBE
Structure: optimized geometry

```
data_Re2TeN
_chemical_formula_sum 'Re4 Te2 N2'
_cell_length_a 4.828
_cell_length_b 4.828
_cell_length_c 6.961
_cell_angle_alpha 69.71
_cell_angle_beta 69.71
_cell_angle_gamma 90.00
_space_group_name_H-M_alt 'P 1'
_space_group_IT_number 1
_space_group_name_Hall 'P 1'
loop_
_atom_site_label
_atom_site_type_symbol
_atom_site_fract_x
_atom_site_fract_y
_atom_site_fract_z
Re1 Re 0.875 0.747 0.750
Re2 Re 0.497 0.125 0.250
Re3 Re 0.253 0.625 0.250
Re4 Re 0.375 0.503 0.750
N1 N 0.500 0.500 0.000
N2 N 0.250 0.750 0.500
Te1 Te 0.000 0.000 0.000
Te2 Te 0.750 0.250 0.500
```

Properties
**Size of the total moment**: 0.00 μB/cell
**Calculated volume**: 17.675 Å³ per atom
**Fermi-level density of states**: 4.9 states/eV/cell


Stability verdict: (two), ahead by 78.7 kJ/mol of atoms


(one)
Compound: Re3TeN
Source: Alexandria
Functional: GGA-PBE
Structure: optimized geometry

```
data_Re3TeN
_chemical_formula_sum 'Re3 Te1 N1'
_cell_length_a 4.825
_cell_length_b 4.825
_cell_length_c 4.825
_cell_angle_alpha 90.00
_cell_angle_beta 90.00
_cell_angle_gamma 90.00
_space_group_name_H-M_alt 'P 1'
_space_group_IT_number 1
_space_group_name_Hall 'P 1'
loop_
_atom_site_label
_atom_site_type_symbol
_atom_site_fract_x
_atom_site_fract_y
_atom_site_fract_z
Re1 Re 0.000 0.500 0.000
Re2 Re 0.000 0.000 0.500
Re3 Re 0.500 0.000 0.000
N1 N 0.500 0.500 0.500
Te1 Te 0.000 0.000 0.000
```

Properties
**Size of the total moment**: 1.81 μB/cell
**Calculated volume**: 22.464 Å³ per atom
**Fermi-level density of states**: 9.3 states/eV/cell


(two)
Compound: Re3TeN
Source: Alexandria
Functional: GGA-PBE
Structure: optimized geometry

```
data_Re3TeN
_chemical_formula_sum 'Re3 Te1 N1'
_cell_length_a 4.186
_cell_length_b 4.186
_cell_length_c 4.186
_cell_angle_alpha 90.00
_cell_angle_beta 90.00
_cell_angle_gamma 90.00
_space_group_name_H-M_alt 'P 1'
_space_group_IT_number 1
_space_group_name_Hall 'P 1'
loop_
_atom_site_label
_atom_site_type_symbol
_atom_site_fract_x
_atom_site_fract_y
_atom_site_fract_z
Te1 Te 0.500 0.500 0.500
Re1 Re 0.500 0.000 0.000
Re2 Re 0.000 0.500 0.000
Re3 Re 0.000 0.000 0.500
N1 N 0.000 0.000 0.000
```

Properties
**Size of the total moment**: 0.28 μB/cell
**Calculated volume**: 14.670 Å³ per atom
**Fermi-level density of states**: 5.7 states/eV/cell


Stability verdict: (two), ahead by 293.4 kJ/mol of atoms